## 1
CdBi3O6 | PBE | relaxed

extended XYZ file:
```
20
Lattice="5.816 0.000 0.000 0.000 6.356 0.000 -5.763 0.000 8.365" Properties=species:S:1:pos:R:3 pbc="T T T"
Cd 0.000 0.000 0.000
Cd -2.882 3.178 4.183
Bi -2.934 0.266 6.346
Bi -0.052 2.912 2.163
Bi 0.026 0.000 4.183
Bi 2.908 3.178 0.000
Bi 0.105 3.445 6.202
Bi 2.987 6.090 2.020
O -1.886 1.110 3.574
O -4.768 2.068 7.757
O -0.843 4.310 3.712
O -3.724 5.224 7.894
O 0.896 0.406 2.091
O -1.986 2.772 6.274
O 2.039 3.584 2.092
O -0.843 5.950 6.274
O 3.777 1.132 0.471
O 0.895 2.046 4.654
O 4.821 4.288 0.609
O 1.939 5.246 4.791
```

Computed properties:
Magnetic moment: 0.000 μB/atom

---

## 2
CdBi3O6 | PBE | relaxed

extended XYZ file:
```
20
Lattice="4.737 -5.672 0.000 4.737 5.672 0.000 0.000 0.000 5.819" Properties=species:S:1:pos:R:3 pbc="T T T"
Cd 4.737 3.802 2.909
Cd 4.737 -3.802 0.000
Bi 1.824 1.315 3.000
Bi 1.824 -1.315 0.091
Bi 4.737 1.152 0.327
Bi 4.737 -1.152 3.237
Bi 7.650 1.315 3.000
Bi 7.650 -1.315 0.091
O 4.737 5.406 1.256
O 3.206 2.672 1.583
O 4.737 3.118 4.987
O 3.316 0.367 4.552
O 3.316 -0.367 1.642
O 6.268 2.672 1.583
O 3.206 -2.672 4.493
O 6.158 0.367 4.552
O 6.158 -0.367 1.642
O 4.737 -3.118 2.077
O 6.268 -2.672 4.493
O 4.737 -5.406 4.165
```

Computed properties:
Magnetic moment: 0.000 μB/atom

---

Need the numbers? Relative energies in meV per atom: 1 0; 2 14.

---

## 1
CdBiP2O | PBE | relaxed

extended XYZ file:
```
5
Lattice="5.350 0.000 0.000 0.000 5.350 0.000 0.000 0.000 4.148" Properties=species:S:1:pos:R:3 pbc="T T T"
Cd 0.000 0.000 0.000
Bi 2.675 2.675 2.074
P 0.000 2.675 2.074
P 2.675 0.000 2.074
O 2.675 2.675 0.000
```

Computed properties:
Magnetic moment: 0.000 μB/atom

---

## 2
CdBiP2O | PBE | relaxed

extended XYZ file:
```
5
Lattice="5.083 0.000 0.000 0.000 5.083 0.000 0.000 0.000 4.063" Properties=species:S:1:pos:R:3 pbc="T T T"
Cd 0.000 0.000 0.000
Bi 2.542 2.542 2.032
P 0.000 2.542 0.000
P 2.542 0.000 0.000
O 0.000 0.000 2.032
```

Computed properties:
Magnetic moment: 0.000 μB/atom

---

Need the numbers? Relative energies in meV per atom: 1 12; 2 0.

---

## 1
CdBiPO2 | PBE | relaxed

extended XYZ file:
```
5
Lattice="4.200 0.000 0.000 0.000 4.200 0.000 0.000 0.000 5.052" Properties=species:S:1:pos:R:3 pbc="T T T"
Cd 0.000 0.000 0.000
Bi 2.100 2.100 2.526
P 0.000 0.000 2.526
O 0.000 2.100 0.000
O 2.100 0.000 0.000
```

Computed properties:
Magnetic moment: 0.000 μB/atom

---

## 2
CdBiPO2 | PBE | relaxed

extended XYZ file:
```
5
Lattice="4.165 0.000 0.000 0.000 4.165 0.000 0.000 0.000 5.591" Properties=species:S:1:pos:R:3 pbc="T T T"
Cd 0.000 0.000 0.000
Bi 2.083 2.083 2.795
P 2.083 2.083 0.000
O 0.000 2.083 2.795
O 2.083 0.000 2.795
```

Computed properties:
Magnetic moment: 0.000 μB/atom

---

Need the numbers? Relative energies in meV per atom: 1 296; 2 0.